! La2TbCeAs4 PBE optimized geometry; values from VASP
&SYSTEM
  ibrav = 0, nat = 8, ntyp = 4
/
ATOMIC_SPECIES
La 138.91 La.upf
Tb 158.93 Tb.upf
Ce 140.12 Ce.upf
As 74.92 As.upf
ATOMIC_POSITIONS crystal
La 0.000 0.500 0.500
La 0.500 0.000 0.500
Tb 0.000 0.000 0.000
Ce 0.500 0.500 0.000
As 0.000 0.253 0.762
As 0.500 0.754 0.762
As 0.500 0.246 0.238
As 0.000 0.747 0.238
CELL_PARAMETERS angstrom
-0.970 -3.859 1.566
2.650 -3.158 -6.141
5.452 0.654 4.986
! D(E_F)	6.16	states/eV/cell
! energy of formation from the pure elements	-1.525	eV per atom

=====

! La2Tb3CeAs6 PBE optimized geometry; values from VASP
&SYSTEM
  ibrav = 0, nat = 12, ntyp = 4
/
ATOMIC_SPECIES
La 138.91 La.upf
As 74.92 As.upf
Tb 158.93 Tb.upf
Ce 140.12 Ce.upf
ATOMIC_POSITIONS crystal
La 0.166 0.334 0.333
As 0.664 0.591 0.328
La 0.834 0.666 0.667
Tb 0.167 0.834 0.335
As 0.334 0.925 0.667
Tb 0.500 0.500 0.000
As 0.003 0.751 0.006
Tb 0.833 0.166 0.665
As 0.666 0.075 0.333
As 0.997 0.249 0.994
Ce 0.500 0.000 0.000
As 0.336 0.409 0.672
CELL_PARAMETERS angstrom
4.236 0.000 0.000
0.000 8.457 0.313
-2.118 -2.425 8.888
! D(E_F)	5.86	states/eV/cell
! energy of formation from the pure elements	-1.529	eV per atom

=====

> The highest D(E_F) belongs to which entry?

La2TbCeAs4

=====

> Which formula does entry 1 have?

La2TbCeAs4

=====

> The highest D(E_F) belongs to which entry?

La2TbCeAs4

=====

> The lowest energy of formation from the pure elements belongs to which entry?

La2Tb3CeAs6